Arrangement A

{"formula": "CsHfBe3", "functional": "PBE", "state": "relaxed", "lattice_angstrom": [[-4.182, 0.293, 2.232], [-1.487, -3.895, -2.275], [1.690, -2.702, 3.521]], "species": ["Be", "Hf", "Be", "Be", "Cs"], "frac_coords": [[0.000, 0.000, 0.500], [0.500, 0.500, 0.500], [0.500, 0.000, 0.000], [0.000, 0.500, 0.000], [0.000, 0.000, 0.000]], "crystal_system": "cubic"}

---

Arrangement B

{"formula": "CsHfBe3", "functional": "PBE", "state": "relaxed", "lattice_angstrom": [[-5.212, 0.049, 0.612], [0.541, -2.096, 4.781], [0.289, 4.811, 2.076]], "species": ["Be", "Be", "Hf", "Be", "Cs"], "frac_coords": [[0.500, 0.000, 0.000], [0.000, 0.500, 0.000], [0.000, 0.000, 0.000], [0.000, 0.000, 0.500], [0.500, 0.500, 0.500]], "crystal_system": "cubic"}

---

Short version: arrangement B is the most stable of them.

---

Arrangement A

{"formula": "CsBe3Hg", "functional": "PBE", "state": "relaxed", "lattice_angstrom": [[-2.815, 0.879, 3.760], [-2.398, -4.045, -0.850], [3.026, -2.388, 2.824]], "species": ["Be", "Be", "Cs", "Hg", "Be"], "frac_coords": [[0.000, 0.000, 0.500], [0.000, 0.500, 0.000], [0.500, 0.500, 0.500], [0.000, 0.000, 0.000], [0.500, 0.000, 0.000]], "crystal_system": "cubic"}

---

Arrangement B

{"formula": "CsBe3Hg", "functional": "PBE", "state": "relaxed", "lattice_angstrom": [[-0.545, 2.298, 6.822], [-1.982, -6.625, 2.073], [6.920, -1.717, 1.131]], "species": ["Be", "Hg", "Cs", "Be", "Be"], "frac_coords": [[0.000, 0.500, 0.000], [0.500, 0.500, 0.500], [0.000, 0.000, 0.000], [0.000, 0.000, 0.500], [0.500, 0.000, 0.000]], "crystal_system": "cubic"}

---

Short version: arrangement A is the most stable of them.

---

Arrangement A

{"formula": "CsBeI3", "functional": "PBE", "state": "relaxed", "lattice_angstrom": [[6.838, 0.000, 0.000], [0.000, 7.523, -3.361], [0.000, -0.433, 9.131]], "species": ["Be", "Be", "I", "Cs", "Cs", "I", "I", "I", "I", "I"], "frac_coords": [[0.738, 0.573, 0.146], [0.238, 0.427, 0.854], [0.105, 0.567, 0.134], [0.142, 0.146, 0.292], [0.642, 0.854, 0.708], [0.148, 0.601, 0.714], [0.148, 0.113, 0.714], [0.605, 0.433, 0.866], [0.648, 0.887, 0.286], [0.648, 0.399, 0.286]], "crystal_system": "orthorhombic"}

---

Arrangement B

{"formula": "CsBeI3", "functional": "PBE", "state": "relaxed", "lattice_angstrom": [[8.607, 0.000, 0.000], [0.000, 8.607, 0.000], [4.304, 4.304, 5.746]], "species": ["Be", "I", "Cs", "Be", "I", "I", "Cs", "I", "I", "I"], "frac_coords": [[0.000, 0.000, 0.000], [0.288, 0.712, 0.000], [0.250, 0.750, 0.500], [0.500, 0.500, 0.000], [0.288, 0.288, 0.000], [0.193, 0.193, 0.613], [0.750, 0.250, 0.500], [0.712, 0.288, 0.000], [0.712, 0.712, 0.000], [0.807, 0.807, 0.387]], "crystal_system": "tetragonal"}

---

Short version: arrangement A is the most stable of them.

---

Arrangement A

{"formula": "CsBeI3", "functional": "PBE", "state": "relaxed", "lattice_angstrom": [[-3.433, 2.812, -5.861], [1.471, -6.120, -3.798], [-6.332, -2.946, 2.296]], "species": ["I", "Be", "Cs", "I", "I"], "frac_coords": [[0.000, 0.000, 0.500], [0.500, 0.500, 0.500], [0.000, 0.000, 0.000], [0.000, 0.500, 0.000], [0.500, 0.000, 0.000]], "crystal_system": "cubic"}

---

Arrangement B

{"formula": "CsBeI3", "functional": "PBE", "state": "relaxed", "lattice_angstrom": [[9.486, 1.122, 0.619], [-3.679, 8.816, -0.619], [-4.449, -4.066, 7.437]], "species": ["Cs", "I", "I", "Be", "I", "Be", "I", "I", "Cs", "I"], "frac_coords": [[0.701, 0.830, 0.371], [0.492, 0.765, 0.886], [0.880, 0.606, 0.114], [0.395, 0.955, 0.940], [0.289, 0.502, 0.287], [0.016, 0.455, 0.060], [0.880, 0.265, 0.773], [0.492, 0.106, 0.227], [0.459, 0.330, 0.629], [0.215, 0.002, 0.713]], "crystal_system": "orthorhombic"}

---

Short version: arrangement B is the most stable of them.

---

Arrangement A

{"formula": "CsBe3I", "functional": "PBE", "state": "relaxed", "lattice_angstrom": [[-1.821, -2.985, -4.209], [-2.915, -3.088, 3.451], [-4.258, 3.390, -0.563]], "species": ["I", "Be", "Cs", "Be", "Be"], "frac_coords": [[0.000, 0.000, 0.000], [0.500, 0.000, 0.000], [0.500, 0.500, 0.500], [0.000, 0.000, 0.500], [0.000, 0.500, 0.000]], "crystal_system": "cubic"}

---

Arrangement B

{"formula": "CsBe3I", "functional": "PBE", "state": "relaxed", "lattice_angstrom": [[-5.163, -4.157, -1.274], [3.977, -3.715, -3.994], [1.759, -3.806, 5.291]], "species": ["Be", "Cs", "Be", "I", "Be"], "frac_coords": [[0.000, 0.500, 0.000], [0.000, 0.000, 0.000], [0.000, 0.000, 0.500], [0.500, 0.500, 0.500], [0.500, 0.000, 0.000]], "crystal_system": "cubic"}

---

Short version: arrangement A is the most stable of them.

---

Arrangement A

{"formula": "CsBeI2N", "functional": "PBE", "state": "relaxed", "lattice_angstrom": [[-3.286, 6.069, 1.366], [-5.979, -3.508, 1.201], [1.113, -0.389, 4.407]], "species": ["N", "I", "Be", "Cs", "I"], "frac_coords": [[0.000, 0.000, 0.500], [0.500, 0.000, 0.000], [0.500, 0.500, 0.500], [0.000, 0.000, 0.000], [0.000, 0.500, 0.000]], "crystal_system": "tetragonal"}

---

Arrangement B

{"formula": "CsBeI2N", "functional": "PBE", "state": "relaxed", "lattice_angstrom": [[7.102, 0.000, 0.000], [0.000, 7.102, 0.000], [0.000, 0.000, 3.198]], "species": ["I", "N", "I", "Be", "Cs"], "frac_coords": [[0.000, 0.500, 0.000], [0.000, 0.000, 0.500], [0.500, 0.000, 0.000], [0.000, 0.000, 0.000], [0.500, 0.500, 0.500]], "crystal_system": "tetragonal"}

---

Short version: arrangement B is the most stable of them.

---

Arrangement A

{"formula": "Cs2BeIN", "functional": "PBE", "state": "relaxed", "lattice_angstrom": [[-5.278, 4.095, 2.819], [-4.827, -5.204, -1.477], [0.854, -2.122, 4.682]], "species": ["N", "Cs", "I", "Cs", "Be"], "frac_coords": [[0.500, 0.500, 0.500], [0.500, 0.000, 0.000], [0.000, 0.000, 0.000], [0.000, 0.500, 0.000], [0.000, 0.000, 0.500]], "crystal_system": "tetragonal"}

---

Arrangement B

{"formula": "Cs2BeIN", "functional": "PBE", "state": "relaxed", "lattice_angstrom": [[6.360, 0.000, 0.000], [0.000, 4.409, 0.000], [0.000, 0.000, 6.360]], "species": ["Cs", "N", "Cs", "Be", "I"], "frac_coords": [[0.000, 0.000, 0.500], [0.000, 0.000, 0.000], [0.500, 0.000, 0.000], [0.500, 0.500, 0.500], [0.000, 0.500, 0.000]], "crystal_system": "tetragonal"}

---

Short version: arrangement B is the most stable of them.

---

Arrangement A

{"formula": "CsBeSb2I", "functional": "PBE", "state": "relaxed", "lattice_angstrom": [[6.562, 0.000, 0.000], [0.000, 6.562, 0.000], [0.000, 0.000, 6.891]], "species": ["Be", "Sb", "I", "Sb", "Cs"], "frac_coords": [[0.500, 0.500, 0.500], [0.000, 0.500, 0.000], [0.000, 0.000, 0.500], [0.500, 0.000, 0.000], [0.000, 0.000, 0.000]], "crystal_system": "tetragonal"}

---

Arrangement B

{"formula": "CsBeSb2I", "functional": "PBE", "state": "relaxed", "lattice_angstrom": [[4.951, 0.000, 0.000], [0.000, 4.951, 0.000], [0.000, 0.000, 8.127]], "species": ["Be", "I", "Sb", "Cs", "Sb"], "frac_coords": [[0.000, 0.000, 0.000], [0.000, 0.000, 0.500], [0.500, 0.000, 0.000], [0.500, 0.500, 0.500], [0.000, 0.500, 0.000]], "crystal_system": "tetragonal"}

---

Short version: arrangement B is the most stable of them.

---

Arrangement A

{"formula": "CsBeIn3", "functional": "PBE", "state": "relaxed", "lattice_angstrom": [[-6.165, 1.816, 2.094], [-0.880, -6.125, 2.722], [2.629, 2.210, 5.822]], "species": ["In", "Be", "Cs", "In", "In"], "frac_coords": [[0.000, 0.500, 0.000], [0.500, 0.500, 0.500], [0.000, 0.000, 0.000], [0.500, 0.000, 0.000], [0.000, 0.000, 0.500]], "crystal_system": "cubic"}

---

Arrangement B

{"formula": "CsBeIn3", "functional": "PBE", "state": "relaxed", "lattice_angstrom": [[5.331, 0.000, 0.000], [0.000, 5.331, 0.000], [0.000, 0.000, 5.331]], "species": ["Be", "Cs", "In", "In", "In"], "frac_coords": [[0.000, 0.000, 0.000], [0.500, 0.500, 0.500], [0.000, 0.000, 0.500], [0.500, 0.000, 0.000], [0.000, 0.500, 0.000]], "crystal_system": "cubic"}

---

Short version: arrangement B is the most stable of them.

---

Arrangement A

{"formula": "Cs2BeIr", "functional": "PBE", "state": "relaxed", "lattice_angstrom": [[-4.957, -3.099, -0.829], [-1.979, -3.595, 4.245], [-4.889, 1.390, 3.005]], "species": ["Cs", "Ir", "Be", "Cs"], "frac_coords": [[0.750, 0.750, 0.750], [0.500, 0.500, 0.500], [0.000, 0.000, 0.000], [0.250, 0.250, 0.250]], "crystal_system": "cubic"}

---

Arrangement B

{"formula": "Cs2BeIr", "functional": "PBE", "state": "relaxed", "lattice_angstrom": [[-7.595, -5.281, -0.866], [2.265, -4.534, 7.787], [-6.105, -0.543, 7.003]], "species": ["Cs", "Be", "Ir", "Cs", "Cs", "Cs", "Be", "Ir"], "frac_coords": [[0.875, 0.120, 0.750], [0.250, 0.750, 0.500], [0.750, 0.250, 0.500], [0.870, 0.125, 0.250], [0.880, 0.625, 0.250], [0.375, 0.130, 0.750], [0.500, 0.500, 0.000], [0.000, 0.000, 0.000]], "crystal_system": "tetragonal"}

---

Short version: arrangement A is the most stable of them.

---

Arrangement A

{"formula": "CsBe3Ir", "functional": "PBE", "state": "relaxed", "lattice_angstrom": [[4.647, 0.000, 0.000], [0.000, 4.647, 0.000], [0.000, 0.000, 4.647]], "species": ["Be", "Be", "Ir", "Be", "Cs"], "frac_coords": [[0.000, 0.000, 0.500], [0.000, 0.500, 0.000], [0.500, 0.500, 0.500], [0.500, 0.000, 0.000], [0.000, 0.000, 0.000]], "crystal_system": "cubic"}

---

Arrangement B

{"formula": "CsBe3Ir", "functional": "PBE", "state": "relaxed", "lattice_angstrom": [[-0.581, -3.847, -2.441], [-1.104, -2.269, 3.838], [-4.421, 1.072, -0.638]], "species": ["Ir", "Be", "Be", "Cs", "Be"], "frac_coords": [[0.000, 0.000, 0.000], [0.000, 0.500, 0.000], [0.000, 0.000, 0.500], [0.500, 0.500, 0.500], [0.500, 0.000, 0.000]], "crystal_system": "cubic"}

---

Short version: arrangement B is the most stable of them.

---

Arrangement A

{"formula": "Cs2KBe", "functional": "PBE", "state": "relaxed", "lattice_angstrom": [[0.000, 4.979, 4.979], [4.979, 0.000, 4.979], [4.979, 4.979, 0.000]], "species": ["Be", "Cs", "Cs", "K"], "frac_coords": [[0.000, 0.000, 0.000], [0.250, 0.250, 0.250], [0.750, 0.750, 0.750], [0.500, 0.500, 0.500]], "crystal_system": "cubic"}

---

Arrangement B

{"formula": "Cs2KBe", "functional": "PBE", "state": "relaxed", "lattice_angstrom": [[-2.395, 10.711, 7.424], [-11.645, 1.630, -6.108], [-8.531, 4.200, 3.014]], "species": ["K", "Cs", "Cs", "K", "Be", "Cs", "Cs", "Be"], "frac_coords": [[0.000, 0.000, 0.000], [0.267, 0.625, 0.250], [0.875, 0.733, 0.750], [0.750, 0.250, 0.500], [0.250, 0.750, 0.500], [0.483, 0.125, 0.250], [0.375, 0.517, 0.750], [0.500, 0.500, 0.000]], "crystal_system": "tetragonal"}

---

Short version: arrangement B is the most stable of them.